## TlV12S16 (SCAN)

Data for a crystal of TlV12S16 relaxed with PBEsol.

Cell: 3.1859 9.0177 15.5954 Å, 90.04 90.01 90.01°
Atoms (fractional coordinates):
Tl 0.0000 0.0000 0.0000
V 0.2483 0.4316 0.0596
V 0.2483 0.6949 0.1875
V 0.2490 0.8717 0.7526
V 0.2502 0.1978 0.6838
V 0.2495 0.3751 0.2580
V 0.2499 0.9291 0.5588
V 0.7501 0.0709 0.4412
V 0.7505 0.6249 0.7420
V 0.7498 0.8022 0.3162
V 0.7510 0.1283 0.2474
V 0.7517 0.3051 0.8125
V 0.7517 0.5684 0.9404
S 0.2502 0.0000 0.3343
S 0.2502 0.1795 0.5275
S 0.2497 0.6185 0.3282
S 0.2503 0.6991 0.6442
S 0.2510 0.4999 0.8322
S 0.2532 0.2011 0.1486
S 0.2538 0.1206 0.8256
S 0.2543 0.6804 0.0263
S 0.7457 0.3196 0.9737
S 0.7462 0.8794 0.1744
S 0.7468 0.7989 0.8514
S 0.7490 0.5001 0.1678
S 0.7498 0.0000 0.6657
S 0.7497 0.3009 0.3558
S 0.7503 0.3815 0.6718
S 0.7498 0.8205 0.4725

Output
* E above lowest polymorph: 8 meV per atom
* raw total energy: -16.143 eV/atom
* uncorrected formation energy: -31.9 eV/f.u.
* calculated density: 4925 kg/m3